A relaxed structure of LuZn2Ru. Source: the Alexandria database, functional PBE.

Structure (POSCAR):
```
LuZn2Ru
1.0
4.5433 0.0000 0.0000
2.2717 3.9346 0.0000
2.2717 1.3115 3.7096
Ru Zn Lu
1 2 1
Cartesian
4.5433 2.6231 1.8548 Ru
2.2717 1.3115 0.9274 Zn
6.8150 3.9346 2.7822 Zn
0.0000 0.0000 0.0000 Lu
```

Calculated values
Crystal system: cubic
Calculated formation energy in eV/atom: -0.187



A relaxed structure of Lu2ZnRu. Source: the Alexandria database, functional PBE.

Structure (POSCAR):
```
Lu2ZnRu
1.0
3.3729 0.0000 0.0000
0.0000 3.3729 0.0000
0.0000 0.0000 7.0754
Ru Zn Lu
1 1 2
Cartesian
1.6864 1.6864 0.0000 Ru
1.6864 1.6864 3.5377 Zn
0.0000 0.0000 5.4556 Lu
0.0000 0.0000 1.6197 Lu
```

Calculated values
Crystal system: tetragonal
Energy above the lowest structure with this stoichiometry in kJ per mole of atoms: 0.0
Calculated formation energy in eV/atom: -0.497



A relaxed structure of LuZn2Ru. Source: the Alexandria database, functional PBE.

Structure (POSCAR):
```
LuZn2Ru
1.0
4.3272 0.0000 0.0000
0.0000 3.9372 0.0000
0.0000 0.0000 3.9372
Ru Zn Lu
1 2 1
Cartesian
2.1636 1.9686 1.9686 Ru
0.0000 0.0000 1.9686 Zn
0.0000 1.9686 0.0000 Zn
2.1636 0.0000 0.0000 Lu
```

Calculated values
Crystal system: tetragonal
Calculated formation energy in eV/atom: -0.225



A relaxed structure of Lu2ZnRu. Source: the Alexandria database, functional PBE.

Structure (POSCAR):
```
Lu2ZnRu
1.0
4.8108 0.0000 0.0000
2.4054 4.1663 0.0000
2.4054 1.3888 3.9280
Ru Zn Lu
1 1 2
Cartesian
4.8108 2.7775 1.9640 Ru
0.0000 0.0000 0.0000 Zn
2.4054 1.3888 0.9820 Lu
7.2162 4.1663 2.9460 Lu
```

Calculated values
Crystal system: cubic
Energy above the lowest structure with this stoichiometry in kJ per mole of atoms: 6.3
Calculated formation energy in eV/atom: -0.432



A relaxed structure of LuZnRu2. Source: the Alexandria database, functional PBE.

Structure (POSCAR):
```
LuZnRu2
1.0
-1.2801 1.2352 -2.8956
-2.9265 -3.2232 -0.0812
-2.7759 2.4630 2.2778
Ru Zn Lu
2 1 1
Cartesian
-1.3879 1.2315 1.1389 Ru
-1.4633 -1.6116 -0.0406 Ru
-3.4913 0.2375 -0.3495 Zn
-0.6401 0.6176 -1.4478 Lu
```

Calculated values
Crystal system: tetragonal
Calculated formation energy in eV/atom: -0.144



A relaxed structure of LuZn4Ru. Source: the Alexandria database, functional PBE.

Structure (POSCAR):
```
LuZn4Ru
1.0
5.0769 0.0000 0.0000
2.5385 4.3968 0.0000
2.5385 1.4656 4.1453
Ru Zn Lu
1 4 1
Cartesian
0.0000 0.0000 0.0000 Ru
5.0769 2.9312 0.5029 Zn
5.0769 1.4512 2.5959 Zn
6.3586 3.6712 2.5959 Zn
3.7952 3.6712 2.5959 Zn
2.5385 1.4656 1.0363 Lu
```

Calculated values
Crystal system: cubic
Calculated formation energy in eV/atom: -0.303



A relaxed structure of LuZrZnRu. Source: the Alexandria database, functional PBE.

Structure (POSCAR):
```
LuZrZnRu
1.0
-1.3540 0.4778 -4.5269
1.8977 -2.7780 -3.3519
-2.6333 -3.3732 -2.0595
Ru Zn Lu Zr
1 1 1 1
Cartesian
-1.5672 -4.2550 -7.4538 Ru
-0.5224 -1.4183 -2.4846 Zn
-1.0448 -2.8367 -4.9692 Lu
0.0000 0.0000 0.0000 Zr
```

Calculated values
Crystal system: cubic
Calculated formation energy in eV/atom: -0.406



A relaxed structure of LuZrRu. Source: the Alexandria database, functional PBE.

Structure (POSCAR):
```
LuZrRu
1.0
-2.5269 2.0999 -3.2253
-2.7143 -2.4781 -2.7730
-4.5762 0.2317 0.4500
Ru Lu Zr
1 1 1
Cartesian
-2.4543 -0.0366 -1.3871 Ru
-4.9087 -0.0733 -2.7742 Lu
0.0000 0.0000 0.0000 Zr
```

Calculated values
Crystal system: cubic
Energy above the lowest structure with this stoichiometry in kJ per mole of atoms: 9.2
Calculated formation energy in eV/atom: -0.254



A relaxed structure of LuZr2Ru. Source: the Alexandria database, functional PBE.

Structure (POSCAR):
```
LuZr2Ru
1.0
3.2606 0.0000 0.0000
1.6303 2.8238 0.0000
1.6303 0.9413 10.0838
Ru Lu Zr
1 1 2
Cartesian
3.2606 1.8825 5.0419 Ru
0.0000 0.0000 0.0000 Lu
1.6303 0.9413 6.9628 Zr
4.8909 2.8238 3.1210 Zr
```

Calculated values
Crystal system: trigonal
Energy above the lowest structure with this stoichiometry in kJ per mole of atoms: 30.4
Calculated formation energy in eV/atom: 0.137



A relaxed structure of LuZr2Ru. Source: the Alexandria database, functional PBE.

Structure (POSCAR):
```
LuZr2Ru
1.0
3.3060 0.0000 0.0000
0.0000 3.3060 0.0000
0.0000 0.0000 7.9040
Ru Lu Zr
1 1 2
Cartesian
1.6530 1.6530 0.0000 Ru
1.6530 1.6530 3.9520 Lu
0.0000 0.0000 6.2955 Zr
0.0000 0.0000 1.6085 Zr
```

Calculated values
Crystal system: tetragonal
Energy above the lowest structure with this stoichiometry in kJ per mole of atoms: 0.0
Calculated formation energy in eV/atom: -0.178



A relaxed structure of LuZrRu2. Source: the Alexandria database, functional PBE.

Structure (POSCAR):
```
LuZrRu2
1.0
-2.7096 -1.7551 -0.6668
1.6218 -1.5982 -2.3838
1.9028 -4.6014 4.3797
Ru Lu Zr
2 1 1
Cartesian
1.4486 -3.5031 3.3343 Ru
0.4542 -1.0983 1.0454 Ru
0.4075 -3.9774 0.6645 Lu
-0.5439 -1.6767 -1.5253 Zr
```

Calculated values
Crystal system: tetragonal
Calculated formation energy in eV/atom: -0.609



A relaxed structure of LuZrRu2. Source: the Alexandria database, functional PBE.

Structure (POSCAR):
```
LuZrRu2
1.0
4.6672 0.0000 0.0002
2.3337 4.0367 -0.1827
2.3338 1.5184 3.7457
Ru Lu Zr
2 1 1
Cartesian
7.0008 4.0366 -0.1824 Ru
4.6674 2.7776 1.7816 Ru
7.0010 4.1663 2.6724 Lu
2.3337 1.3888 0.8908 Zr
```

Calculated values
Crystal system: cubic
Calculated formation energy in eV/atom: -0.597



A relaxed structure of LuZrRu. Source: the Alexandria database, functional PBE.

Structure (POSCAR):
```
LuZrRu
1.0
-3.0098 -0.4326 1.3536
-0.6432 -2.4122 -2.2013
3.9801 -2.4053 3.9891
Ru Lu Zr
1 1 1
Cartesian
-1.0778 -2.7532 0.8157 Ru
0.0853 -0.1516 0.1412 Lu
1.3196 -2.3454 2.1846 Zr
```

Calculated values
Crystal system: tetragonal
Energy above the lowest structure with this stoichiometry in kJ per mole of atoms: 0.0
Calculated formation energy in eV/atom: -0.349



A relaxed structure of LuSbS2. Source: the Alexandria database, functional PBE.

Structure (POSCAR):
```
LuSbS2
1.0
-3.6676 0.5294 -1.3450
-2.9434 -2.2372 1.3683
-3.6146 4.9746 6.0371
Sb S Lu
1 2 1
Cartesian
-5.1128 1.6334 3.0302 Sb
-3.1695 3.2259 4.1352 S
-7.0561 0.0409 1.9251 S
0.0000 0.0000 0.0000 Lu
```

Calculated values
Crystal system: trigonal
E_form (uncorrected) in eV/atom: -0.386



A relaxed structure of LuSc2S. Source: the Alexandria database, functional PBE.

Structure (POSCAR):
```
LuSc2S
1.0
-2.0293 2.8147 0.0981
-2.1510 0.6817 -2.6380
-8.0473 -3.7764 3.3018
Sc S Lu
2 1 1
Cartesian
-5.7987 -2.1063 1.8999 Sc
-6.4289 1.8264 -1.1380 Sc
-6.1138 -0.1400 0.3810 S
0.0000 0.0000 0.0000 Lu
```

Calculated values
Crystal system: trigonal
E_form (uncorrected) in eV/atom: -0.699



A relaxed structure of Lu3ScS. Source: the Alexandria database, functional PBE.

Structure (POSCAR):
```
Lu3ScS
1.0
-1.3309 -0.6878 4.9079
-0.9507 -4.9520 -0.9518
4.8638 -1.1562 1.1570
Sc S Lu
1 1 3
Cartesian
1.2911 -3.3980 2.5565 Sc
0.0000 0.0000 0.0000 S
-0.4754 -2.4760 -0.4759 Lu
2.4319 -0.5781 0.5785 Lu
-0.6655 -0.3439 2.4540 Lu
```

Calculated values
Crystal system: cubic
E_form (uncorrected) in eV/atom: -0.545



A relaxed structure of LuScS2. Source: the Alexandria database, functional PBE.

Structure (POSCAR):
```
LuScS2
1.0
-3.0458 -2.2092 0.0352
0.2872 -3.6165 -0.9987
0.2398 -3.4482 5.4667
Sc S Lu
1 2 1
Cartesian
0.0000 0.0000 0.0000 Sc
-0.6378 -2.3079 1.0852 S
-1.8810 -6.9659 3.4180 S
-1.2594 -4.6369 2.2516 Lu
```

Calculated values
Crystal system: trigonal
E_form (uncorrected) in eV/atom: -1.875



A relaxed structure of LuSc3S. Source: the Alexandria database, functional PBE.

Structure (POSCAR):
```
LuSc3S
1.0
-0.4513 -4.7917 -1.1680
4.9291 -0.4783 0.0577
-0.1687 -1.1572 4.8125
Sc S Lu
3 1 1
Cartesian
2.4645 -0.2392 0.0289 Sc
-0.0843 -0.5786 2.4063 Sc
-0.2256 -2.3958 -0.5840 Sc
0.0000 0.0000 0.0000 S
2.1546 -3.2136 1.8511 Lu
```

Calculated values
Crystal system: cubic
E_form (uncorrected) in eV/atom: -0.606



A relaxed structure of LuSeS. Source: the Alexandria database, functional PBE.

Structure (POSCAR):
```
LuSeS
1.0
5.8542 0.0000 0.0000
0.0000 3.9806 0.0000
0.0000 -1.9903 3.4473
S Lu Se
1 1 1
Cartesian
4.4486 1.9903 1.1491 S
5.7472 0.0000 0.0000 Lu
1.5125 0.0000 2.2982 Se
```

Calculated values
Crystal system: trigonal
E_form (uncorrected) in eV/atom: -1.307



A relaxed structure of Lu2SeS. Source: the Alexandria database, functional PBE.

Structure (POSCAR):
```
Lu2SeS
1.0
-3.4053 -1.6549 -0.8854
-1.4478 -2.8041 2.2714
-4.6762 2.9319 3.9670
S Lu Se
1 2 1
Cartesian
0.0000 0.0000 0.0000 S
-2.2922 -0.5119 1.2350 Lu
-7.2370 -1.0152 4.1180 Lu
-4.7646 -0.7635 2.6765 Se
```

Calculated values
Crystal system: trigonal
E_form (uncorrected) in eV/atom: -1.752



A relaxed structure of LuSeS2. Source: the Alexandria database, functional PBE.

Structure (POSCAR):
```
LuSeS2
1.0
-2.3141 0.5391 -2.9999
1.1880 -0.9128 -3.5214
-3.3008 -7.5142 -1.2452
S Lu Se
2 1 1
Cartesian
-2.3505 -5.1138 -1.5468 S
-2.0763 -2.7740 -6.2196 S
0.0000 0.0000 0.0000 Lu
-2.2134 -3.9439 -3.8832 Se
```

Calculated values
Crystal system: trigonal
E_form (uncorrected) in eV/atom: 0.109



A relaxed structure of Lu2SiS. Source: the Alexandria database, functional PBE.

Structure (POSCAR):
```
Lu2SiS
1.0
-1.2065 3.4844 1.3492
0.4292 0.8894 3.8002
5.6082 3.9742 0.4649
S Lu Si
1 2 1
Cartesian
2.4154 4.1740 2.8072 S
3.6455 6.2706 4.2060 Lu
1.1854 2.0774 1.4084 Lu
0.0000 0.0000 0.0000 Si
```

Calculated values
Crystal system: trigonal
E_form (uncorrected) in eV/atom: -1.306



A relaxed structure of Sm3LuS. Source: the Alexandria database, functional PBE.

Structure (POSCAR):
```
Sm3LuS
1.0
-3.7709 -3.8560 0.3007
0.8874 -1.2714 -5.1744
3.7645 -3.5628 1.5210
S Lu Sm
1 1 3
Cartesian
0.0000 0.0000 0.0000 S
0.4405 -4.3451 -1.6764 Lu
0.4437 -0.6357 -2.5872 Sm
1.8822 -1.7814 0.7605 Sm
-1.8854 -1.9280 0.1504 Sm
```

Calculated values
Crystal system: cubic
E_form (uncorrected) in eV/atom: -0.657



A relaxed structure of Sm4Lu11S22. Source: the Alexandria database, functional PBE.

Structure (POSCAR):
```
Sm4Lu11S22
1.0
-0.9674 -2.6362 -2.6775
10.8304 -2.3788 -1.5709
-0.9655 -12.1344 15.1077
Sm Lu S
4 11 22
Cartesian
9.0607 -14.2934 7.9883 Sm
-0.1632 -2.8560 2.8710 Sm
6.1818 -6.4227 1.2789 Sm
2.7157 -10.7268 9.5803 Sm
9.6134 -7.6771 4.0855 Lu
-0.7159 -9.4724 6.7738 Lu
7.3221 -4.1009 -1.4190 Lu
1.5754 -13.0485 12.2783 Lu
6.5724 -10.8656 8.3236 Lu
2.3251 -6.2838 2.5357 Lu
5.8410 -9.1843 4.1212 Lu
3.0565 -7.9651 6.7381 Lu
5.2022 -14.4111 9.4982 Lu
3.6953 -2.7384 1.3611 Lu
0.0000 0.0000 0.0000 Lu
0.9695 -12.9853 9.6237 S
7.9280 -4.1642 1.2356 S
1.9584 -10.4448 6.7650 S
6.9391 -6.7047 4.0943 S
3.2953 -8.2174 4.0888 S
5.6022 -8.9321 6.7704 S
4.8578 -4.0483 -0.5805 S
4.0397 -13.1011 11.4398 S
4.3826 -12.4382 7.8518 S
4.5148 -4.7112 3.0074 S
7.3522 -12.8219 9.9680 S
1.5453 -4.3275 0.8913 S
9.8917 -4.8934 -1.5672 S
-0.9942 -12.2561 12.4265 S
8.9053 -7.4958 1.3515 S
-0.0078 -9.6537 9.5078 S
7.7512 -12.2517 6.4511 S
1.1463 -4.8978 4.4082 S
6.3151 -16.3696 11.0245 S
2.5824 -0.7798 -0.1652 S
8.3333 -9.9968 4.0207 S
0.5642 -7.1526 6.8386 S
```

Calculated values
Crystal system: monoclinic
E_form (uncorrected) in eV/atom: -2.083



A relaxed structure of SmLu2S. Source: the Alexandria database, functional PBE.

Structure (POSCAR):
```
SmLu2S
1.0
-0.3510 -2.3627 2.6482
0.5305 -3.4708 -0.6250
9.7790 -0.8644 2.9263
S Lu Sm
1 2 1
Cartesian
4.9793 -3.3490 2.4747 S
6.5025 -1.2286 2.1671 Lu
3.4560 -5.4694 2.7823 Lu
0.0000 0.0000 0.0000 Sm
```

Calculated values
Crystal system: trigonal
E_form (uncorrected) in eV/atom: -0.700



A relaxed structure of Lu2SnS. Source: the Alexandria database, functional PBE.

Structure (POSCAR):
```
Lu2SnS
1.0
-3.4242 1.4549 0.5732
-2.4821 0.1414 -2.8265
-4.5480 -6.2961 1.1724
S Lu Sn
1 2 1
Cartesian
0.0000 0.0000 0.0000 S
-2.4983 -0.8699 -0.3562 Lu
-7.9560 -3.8300 -0.7248 Lu
-5.2272 -2.3499 -0.5405 Sn
```

Calculated values
Crystal system: trigonal
E_form (uncorrected) in eV/atom: -1.201



A relaxed structure of LuSnS2. Source: the Alexandria database, functional PBE.

Structure (POSCAR):
```
LuSnS2
1.0
-3.6912 -0.6549 -0.6716
-1.2308 -0.4733 -3.5729
-0.2762 -8.7163 -0.7801
S Lu Sn
2 1 1
Cartesian
-0.7191 -6.0094 -0.9861 S
-4.4791 -3.8352 -4.0384 S
-2.5991 -4.9223 -2.5123 Lu
0.0000 0.0000 0.0000 Sn
```

Calculated values
Crystal system: trigonal
E_form (uncorrected) in eV/atom: -1.278



A relaxed structure of Lu2TaS. Source: the Alexandria database, functional PBE.

Structure (POSCAR):
```
Lu2TaS
1.0
-1.8516 2.7400 0.5723
-3.1395 -0.3056 1.1461
1.5079 1.1228 9.3438
S Lu Ta
1 2 1
Cartesian
-1.7416 1.7786 5.5311 S
0.5200 1.0258 6.6120 Lu
-4.0033 2.5314 4.4502 Lu
0.0000 0.0000 0.0000 Ta
```

Calculated values
Crystal system: trigonal
E_form (uncorrected) in eV/atom: -0.206



A relaxed structure of TbLuS. Source: the Alexandria database, functional PBE.

Structure (POSCAR):
```
TbLuS
1.0
-1.5753 -0.3367 3.3696
-0.1441 -2.8403 -2.4210
5.3686 -2.2225 2.2878
S Lu Tb
1 1 1
Cartesian
0.7229 -1.9251 2.2155 S
2.5844 -3.3328 0.8752 Lu
0.3419 -0.1415 0.1457 Tb
```

Calculated values
Crystal system: trigonal
E_form (uncorrected) in eV/atom: -1.255